Here is an optimized crystal structure of Zn3Cu from Alexandria. Energies are from GGA-PBE.

Results
* E_tot: -16.2 eV per cell
* symmetry: Cmcm, No. 63
* formation enthalpy at 0 K: -0.0464 eV per atom

Cell lengths 4.215, 4.215, 7.687 Å; angles 90.00, 90.00, 120.59 degrees
Fractional positions:
Zn: 0.000 0.000 0.250
Zn: 0.000 0.000 0.750
Zn: 0.334 0.666 0.579
Zn: 0.334 0.666 0.921
Zn: 0.666 0.334 0.079
Zn: 0.666 0.334 0.421
Cu: 0.332 0.668 0.250
Cu: 0.668 0.332 0.750